1.
An optimized crystal structure of Li2SnPd, computed with GGA-PBE.

Calculated values
As for the total magnetization: 0.00 μB per cell. The density is 5.45 g/cm3. As for the uncorrected energy: -14.17 eV/f.u.

CIF file:
```
data_Li2SnPd
_chemical_formula_sum 'Li4 Sn2 Pd2'
_space_group_name_H-M_alt 'P 1'
_space_group_IT_number 1
_cell_length_a 5.874
_cell_length_b 5.874
_cell_length_c 5.874
_cell_angle_alpha 101.74
_cell_angle_beta 101.74
_cell_angle_gamma 126.38
loop_
_space_group_symop_operation_xyz
'x,y,z'
loop_
_atom_site_label
_atom_site_type_symbol
_atom_site_fract_x
_atom_site_fract_y
_atom_site_fract_z
Li1 Li 0.088 0.625 0.963
Li2 Li 0.375 0.338 0.463
Li3 Li 0.662 0.125 0.037
Li4 Li 0.875 0.912 0.537
Sn1 Sn 0.250 0.750 0.500
Sn2 Sn 0.500 0.500 0.000
Pd1 Pd 0.000 0.000 0.000
Pd2 Pd 0.750 0.250 0.500
```



2.
An optimized crystal structure of Sr2AsRh, computed with GGA-PBE.

Calculated values
As for the total magnetization: 0.00 μB per cell. The density is 5.85 g/cm3. As for the uncorrected energy: -17.22 eV/f.u.

CIF file:
```
data_Sr2AsRh
_chemical_formula_sum 'Sr2 As1 Rh1'
_space_group_name_H-M_alt 'P 1'
_space_group_IT_number 1
_cell_length_a 4.916
_cell_length_b 4.916
_cell_length_c 4.143
_cell_angle_alpha 90.00
_cell_angle_beta 90.00
_cell_angle_gamma 90.20
loop_
_space_group_symop_operation_xyz
'x,y,z'
loop_
_atom_site_label
_atom_site_type_symbol
_atom_site_fract_x
_atom_site_fract_y
_atom_site_fract_z
Sr1 Sr 0.000 0.500 0.000
Sr2 Sr 0.500 0.000 0.000
As1 As 0.000 0.000 0.500
Rh1 Rh 0.500 0.500 0.500
```



3.
An optimized crystal structure of TlAg2AuBr6, computed with GGA-PBE.

Calculated values
As for the total magnetization: 0.00 μB per cell. The density is 5.12 g/cm3. As for the uncorrected energy: -24.90 eV/f.u.

CIF file:
```
data_TlAg2AuBr6
_chemical_formula_sum 'Tl1 Ag2 Au1 Br6'
_space_group_name_H-M_alt 'P 1'
_space_group_IT_number 1
_cell_length_a 7.008
_cell_length_b 7.486
_cell_length_c 7.981
_cell_angle_alpha 80.46
_cell_angle_beta 69.05
_cell_angle_gamma 65.42
loop_
_space_group_symop_operation_xyz
'x,y,z'
loop_
_atom_site_label
_atom_site_type_symbol
_atom_site_fract_x
_atom_site_fract_y
_atom_site_fract_z
Tl1 Tl 0.000 0.000 0.000
Ag1 Ag 0.507 0.301 0.905
Ag2 Ag 0.534 0.708 0.275
Au1 Au 0.955 0.601 0.596
Br1 Br 0.148 0.819 0.585
Br2 Br 0.175 0.346 0.774
Br3 Br 0.506 0.932 0.975
Br4 Br 0.541 0.372 0.202
Br5 Br 0.736 0.856 0.413
Br6 Br 0.774 0.381 0.587
```



4.
An optimized crystal structure of LiAc5Te8, computed with GGA-PBE.

Calculated values
As for the total magnetization: 0.00 μB per cell. The density is 7.30 g/cm3. As for the uncorrected energy: -69.21 eV/f.u.

CIF file:
```
data_LiAc5Te8
_chemical_formula_sum 'Li1 Ac5 Te8'
_space_group_name_H-M_alt 'P 1'
_space_group_IT_number 1
_cell_length_a 8.616
_cell_length_b 8.616
_cell_length_c 8.616
_cell_angle_alpha 109.94
_cell_angle_beta 109.94
_cell_angle_gamma 108.55
loop_
_space_group_symop_operation_xyz
'x,y,z'
loop_
_atom_site_label
_atom_site_type_symbol
_atom_site_fract_x
_atom_site_fract_y
_atom_site_fract_z
Li1 Li 0.000 0.000 0.000
Ac1 Ac 0.245 0.118 0.621
Ac2 Ac 0.376 0.755 0.873
Ac3 Ac 0.497 0.624 0.379
Ac4 Ac 0.750 0.250 0.500
Ac5 Ac 0.882 0.503 0.127
Te1 Te 0.116 0.360 0.390
Te2 Te 0.131 0.386 0.901
Te3 Te 0.274 0.884 0.244
Te4 Te 0.485 0.231 0.099
Te5 Te 0.614 0.515 0.746
Te6 Te 0.640 0.029 0.756
Te7 Te 0.769 0.869 0.254
Te8 Te 0.971 0.726 0.610
```



5.
An optimized crystal structure of Pm2P4IrRh3, computed with GGA-PBE.

Calculated values
As for the total magnetization: 0.00 μB per cell. The density is 9.18 g/cm3. As for the uncorrected energy: -72.79 eV/f.u.

CIF file:
```
data_Pm2P4IrRh3
_chemical_formula_sum 'Pm2 P4 Ir1 Rh3'
_space_group_name_H-M_alt 'P 1'
_space_group_IT_number 1
_cell_length_a 4.152
_cell_length_b 4.152
_cell_length_c 9.597
_cell_angle_alpha 90.00
_cell_angle_beta 90.00
_cell_angle_gamma 90.00
loop_
_space_group_symop_operation_xyz
'x,y,z'
loop_
_atom_site_label
_atom_site_type_symbol
_atom_site_fract_x
_atom_site_fract_y
_atom_site_fract_z
Pm1 Pm 0.000 0.500 0.242
Pm2 Pm 0.500 0.000 0.758
P1 P 0.000 0.000 0.000
P2 P 0.000 0.500 0.639
P3 P 0.500 0.000 0.361
P4 P 0.500 0.500 0.000
Ir1 Ir 0.000 0.000 0.500
Rh1 Rh 0.000 0.500 0.887
Rh2 Rh 0.500 0.000 0.113
Rh3 Rh 0.500 0.500 0.500
```



6.
An optimized crystal structure of Al2Cu, computed with GGA-PBE.

Calculated values
As for the total magnetization: 0.00 μB per cell. The density is 4.04 g/cm3. As for the uncorrected energy: -12.12 eV/f.u.

CIF file:
```
data_Al2Cu
_chemical_formula_sum 'Al2 Cu1'
_space_group_name_H-M_alt 'P 1'
_space_group_IT_number 1
_cell_length_a 4.088
_cell_length_b 4.088
_cell_length_c 4.088
_cell_angle_alpha 60.00
_cell_angle_beta 60.00
_cell_angle_gamma 60.00
loop_
_space_group_symop_operation_xyz
'x,y,z'
loop_
_atom_site_label
_atom_site_type_symbol
_atom_site_fract_x
_atom_site_fract_y
_atom_site_fract_z
Al1 Al 0.250 0.250 0.250
Al2 Al 0.750 0.750 0.750
Cu1 Cu 0.000 0.000 0.000
```



7.
An optimized crystal structure of LiZn2Pd2, computed with GGA-PBE.

Calculated values
As for the total magnetization: 0.00 μB per cell. The density is 6.81 g/cm3. As for the uncorrected energy: -16.15 eV/f.u.

CIF file:
```
data_LiZn2Pd2
_chemical_formula_sum 'Li1 Zn2 Pd2'
_space_group_name_H-M_alt 'P 1'
_space_group_IT_number 1
_cell_length_a 6.624
_cell_length_b 6.624
_cell_length_c 6.624
_cell_angle_alpha 147.07
_cell_angle_beta 147.07
_cell_angle_gamma 47.25
loop_
_space_group_symop_operation_xyz
'x,y,z'
loop_
_atom_site_label
_atom_site_type_symbol
_atom_site_fract_x
_atom_site_fract_y
_atom_site_fract_z
Li1 Li 0.000 0.000 0.000
Zn1 Zn 0.250 0.750 0.500
Zn2 Zn 0.750 0.250 0.500
Pd1 Pd 0.392 0.392 0.000
Pd2 Pd 0.608 0.608 0.000
```



8.
An optimized crystal structure of Tb3Pm3Si4, computed with GGA-PBE.

Calculated values
As for the total magnetization: 0.00 μB per cell. The density is 6.83 g/cm3. As for the uncorrected energy: -56.73 eV/f.u.

CIF file:
```
data_Tb3Pm3Si4
_chemical_formula_sum 'Tb3 Pm3 Si4'
_space_group_name_H-M_alt 'P 1'
_space_group_IT_number 1
_cell_length_a 4.317
_cell_length_b 7.592
_cell_length_c 7.592
_cell_angle_alpha 90.43
_cell_angle_beta 90.00
_cell_angle_gamma 90.00
loop_
_space_group_symop_operation_xyz
'x,y,z'
loop_
_atom_site_label
_atom_site_type_symbol
_atom_site_fract_x
_atom_site_fract_y
_atom_site_fract_z
Tb1 Tb 0.000 0.000 0.000
Tb2 Tb 0.500 0.324 0.822
Tb3 Tb 0.500 0.822 0.324
Pm1 Pm 0.000 0.145 0.499
Pm2 Pm 0.000 0.499 0.145
Pm3 Pm 0.000 0.647 0.647
Si1 Si 0.500 0.205 0.205
Si2 Si 0.500 0.435 0.435
Si3 Si 0.500 0.713 0.940
Si4 Si 0.500 0.940 0.713
```



9.
An optimized crystal structure of Pr2YAl2Ga2, computed with GGA-PBE.

Calculated values
As for the total magnetization: 0.77 μB per cell. The density is 5.18 g/cm3. As for the uncorrected energy: -32.56 eV/f.u.

CIF file:
```
data_Pr2YAl2Ga2
_chemical_formula_sum 'Pr2 Y1 Al2 Ga2'
_space_group_name_H-M_alt 'P 1'
_space_group_IT_number 1
_cell_length_a 11.686
_cell_length_b 11.686
_cell_length_c 11.686
_cell_angle_alpha 21.09
_cell_angle_beta 21.09
_cell_angle_gamma 21.09
loop_
_space_group_symop_operation_xyz
'x,y,z'
loop_
_atom_site_label
_atom_site_type_symbol
_atom_site_fract_x
_atom_site_fract_y
_atom_site_fract_z
Pr1 Pr 0.122 0.122 0.122
Pr2 Pr 0.878 0.878 0.878
Y1 Y 0.000 0.000 0.000
Al1 Al 0.392 0.392 0.392
Al2 Al 0.608 0.608 0.608
Ga1 Ga 0.273 0.273 0.273
Ga2 Ga 0.727 0.727 0.727
```



10.
An optimized crystal structure of CaHo4S5, computed with GGA-PBE.

Calculated values
As for the total magnetization: 0.00 μB per cell. The density is 6.79 g/cm3. As for the uncorrected energy: -60.92 eV/f.u.

CIF file:
```
data_CaHo4S5
_chemical_formula_sum 'Ca1 Ho4 S5'
_space_group_name_H-M_alt 'P 1'
_space_group_IT_number 1
_cell_length_a 6.762
_cell_length_b 6.762
_cell_length_c 6.762
_cell_angle_alpha 99.60
_cell_angle_beta 99.60
_cell_angle_gamma 131.80
loop_
_space_group_symop_operation_xyz
'x,y,z'
loop_
_atom_site_label
_atom_site_type_symbol
_atom_site_fract_x
_atom_site_fract_y
_atom_site_fract_z
Ca1 Ca 0.000 0.000 0.000
Ho1 Ho 0.200 0.398 0.598
Ho2 Ho 0.398 0.800 0.198
Ho3 Ho 0.602 0.200 0.802
Ho4 Ho 0.800 0.602 0.402
S1 S 0.099 0.698 0.797
S2 S 0.302 0.099 0.401
S3 S 0.500 0.500 0.000
S4 S 0.698 0.901 0.599
S5 S 0.901 0.302 0.203
```



11.
An optimized crystal structure of AcSn2Te6Pb3, computed with GGA-PBE.

Calculated values
As for the total magnetization: 0.00 μB per cell. The density is 7.19 g/cm3. As for the uncorrected energy: -48.46 eV/f.u.

CIF file:
```
data_AcSn2Te6Pb3
_chemical_formula_sum 'Ac1 Sn2 Te6 Pb3'
_space_group_name_H-M_alt 'P 1'
_space_group_IT_number 1
_cell_length_a 10.469
_cell_length_b 10.469
_cell_length_c 9.083
_cell_angle_alpha 104.28
_cell_angle_beta 104.28
_cell_angle_gamma 26.38
loop_
_space_group_symop_operation_xyz
'x,y,z'
loop_
_atom_site_label
_atom_site_type_symbol
_atom_site_fract_x
_atom_site_fract_y
_atom_site_fract_z
Ac1 Ac 0.000 0.000 0.000
Sn1 Sn 0.327 0.327 0.659
Sn2 Sn 0.673 0.673 0.341
Te1 Te 0.168 0.168 0.088
Te2 Te 0.168 0.168 0.578
Te3 Te 0.496 0.496 0.744
Te4 Te 0.504 0.504 0.256
Te5 Te 0.832 0.832 0.422
Te6 Te 0.832 0.832 0.912
Pb1 Pb 0.000 0.000 0.500
Pb2 Pb 0.334 0.334 0.170
Pb3 Pb 0.666 0.666 0.830
```



12.
An optimized crystal structure of Pm2TmBi3, computed with GGA-PBE.

Calculated values
As for the total magnetization: 0.00 μB per cell. The density is 9.14 g/cm3. As for the uncorrected energy: -30.92 eV/f.u.

CIF file:
```
data_Pm2TmBi3
_chemical_formula_sum 'Pm8 Tm4 Bi12'
_space_group_name_H-M_alt 'P 1'
_space_group_IT_number 1
_cell_length_a 15.035
_cell_length_b 14.334
_cell_length_c 7.848
_cell_angle_alpha 79.50
_cell_angle_beta 69.62
_cell_angle_gamma 30.88
loop_
_space_group_symop_operation_xyz
'x,y,z'
loop_
_atom_site_label
_atom_site_type_symbol
_atom_site_fract_x
_atom_site_fract_y
_atom_site_fract_z
Pm1 Pm 0.043 0.043 0.207
Pm2 Pm 0.124 0.124 0.626
Pm3 Pm 0.207 0.207 0.043
Pm4 Pm 0.374 0.374 0.876
Pm5 Pm 0.626 0.626 0.124
Pm6 Pm 0.793 0.793 0.957
Pm7 Pm 0.876 0.876 0.374
Pm8 Pm 0.957 0.957 0.793
Tm1 Tm 0.291 0.291 0.459
Tm2 Tm 0.459 0.459 0.291
Tm3 Tm 0.541 0.541 0.709
Tm4 Tm 0.709 0.709 0.541
Bi1 Bi 0.040 0.541 0.217
Bi2 Bi 0.133 0.617 0.617
Bi3 Bi 0.217 0.702 0.040
Bi4 Bi 0.298 0.783 0.459
Bi5 Bi 0.383 0.867 0.867
Bi6 Bi 0.459 0.960 0.298
Bi7 Bi 0.541 0.040 0.702
Bi8 Bi 0.617 0.133 0.133
Bi9 Bi 0.702 0.217 0.541
Bi10 Bi 0.783 0.298 0.960
Bi11 Bi 0.867 0.383 0.383
Bi12 Bi 0.960 0.459 0.783
```